Material: NiSeNF2
Method: DFT, PBE with a Hubbard U
State: relaxed

Structure (POSCAR):
```
NiSeNF2
1.0
3.7632 0.0000 0.0000
0.0000 3.7632 0.0000
0.0000 0.0000 4.4261
Ni Se N F
1 1 1 2
Cartesian
0.0000 0.0000 0.0000
1.8816 1.8816 2.2130
0.0000 0.0000 2.2130
0.0000 1.8816 0.0000
1.8816 0.0000 0.0000
```

Summary:
DOS(E_F), states/eV/f.u.: 1.74
Calculated total energy, eV/atom: -3.691